# 1
Dy4NpO10: optimized geometry, PBE.

a = 8.495 Å, b = 8.495 Å, c = 5.307 Å
α = 90.00°, β = 90.00°, γ = 90.00°
Space group I4/m (No. 87)
One atom of each set of equivalent atoms:
Dy: 0.099 0.699 0.000 (multiplicity 8)
Np: 0.000 0.000 0.500 (multiplicity 2)
O: 0.000 0.500 0.250 (multiplicity 4)
O: 0.097 0.187 0.264 (multiplicity 16)

Output
density of states at the Fermi level	16.27	states/eV/cell
raw formation energy	-3.1323	eV/atom

---

# 2
DyNp2O11: optimized geometry, PBE.

a = 13.797 Å, b = 8.341 Å, c = 10.760 Å
α = 90.00°, β = 127.70°, γ = 90.00°
Space group C2 (No. 5)
One atom of each set of equivalent atoms:
Dy: 0.000 0.000 0.000 (multiplicity 2)
Dy: 0.000 0.302 0.500 (multiplicity 2)
Np: 0.242 0.043 0.487 (multiplicity 4)
Np: 0.249 0.219 0.973 (multiplicity 4)
O: 0.102 0.100 0.470 (multiplicity 4)
O: 0.103 0.154 0.943 (multiplicity 4)
O: 0.108 0.805 0.992 (multiplicity 4)
O: 0.109 0.489 0.475 (multiplicity 4)
O: 0.151 0.037 0.260 (multiplicity 4)
O: 0.151 0.281 0.757 (multiplicity 4)
O: 0.158 0.633 0.830 (multiplicity 4)
O: 0.159 0.539 0.233 (multiplicity 4)
O: 0.197 0.413 0.196 (multiplicity 4)
O: 0.217 0.794 0.493 (multiplicity 4)
O: 0.226 0.454 0.097 (multiplicity 4)

Output
raw formation energy	-2.1184	eV/atom

---

# 3
Dy2NpO6: optimized geometry, PBE.

a = 5.088 Å, b = 5.088 Å, c = 10.398 Å
α = 90.00°, β = 90.00°, γ = 90.00°
Space group P4_2/mnm (No. 136)
One atom of each set of equivalent atoms:
Dy: 0.000 0.000 0.166 (multiplicity 4)
Np: 0.000 0.000 0.500 (multiplicity 2)
O: 0.185 0.185 0.345 (multiplicity 8)
O: 0.210 0.210 0.000 (multiplicity 4)

Output
raw formation energy	-3.2750	eV/atom

---

# 4
DyNp2O6: optimized geometry, PBE.

a = 3.8241 Å, b = 3.8241 Å, c = 9.1566 Å
α = 90.00°, β = 90.00°, γ = 120.00°
Space group P-3m1 (No. 164)
One atom of each set of equivalent atoms:
Dy: 0.0000 0.0000 0.0000 (multiplicity 1)
Np: 0.3333 0.6667 0.6689 (multiplicity 2)
O: 0.0000 0.0000 0.2626 (multiplicity 2)
O: 0.3333 0.6667 0.4187 (multiplicity 2)
O: 0.3333 0.6667 0.9049 (multiplicity 2)

Output
density of states at the Fermi level	13.90	states/eV/cell
raw formation energy	-3.2256	eV/atom

---

# 5
DyNpP2O8: optimized geometry, PBE.

a = 5.2795 Å, b = 5.2795 Å, c = 7.1425 Å
α = 90.00°, β = 90.00°, γ = 120.00°
Space group P-3m1 (No. 164)
One atom of each set of equivalent atoms:
Dy: 0.0000 0.0000 0.0000 (multiplicity 1)
Np: 0.0000 0.0000 0.5000 (multiplicity 1)
P: 0.3333 0.6667 0.2962 (multiplicity 2)
O: 0.1737 0.3474 0.2213 (multiplicity 6)
O: 0.3333 0.6667 0.5103 (multiplicity 2)

Output
density of states at the Fermi level	2.36	states/eV/cell
raw formation energy	-2.7213	eV/atom

---

# 6
DyNpPbO6: optimized geometry, PBE.

a = 5.8616 Å, b = 5.8616 Å, c = 10.1112 Å
α = 90.00°, β = 90.00°, γ = 120.00°
Space group P-31c (No. 163)
One atom of each set of equivalent atoms:
Dy: 0.3333 0.6667 0.2500 (multiplicity 2)
Np: 0.3333 0.6667 0.7500 (multiplicity 2)
Pb: 0.0000 0.0000 0.0000 (multiplicity 2)
O: 0.0305 0.3837 0.6429 (multiplicity 12)

Output
raw formation energy	-2.5365	eV/atom

---

# 7
DyNpPb2O6: optimized geometry, PBE.

a = 5.997 Å, b = 6.120 Å, c = 10.486 Å
α = 90.00°, β = 124.82°, γ = 90.00°
Space group P2_1/c (No. 14)
One atom of each set of equivalent atoms:
Dy: 0.000 0.000 0.000 (multiplicity 2)
Np: 0.500 0.000 0.500 (multiplicity 2)
Pb: 0.245 0.031 0.749 (multiplicity 4)
O: 0.163 0.193 0.455 (multiplicity 4)
O: 0.262 0.709 0.452 (multiplicity 4)
O: 0.350 0.026 0.257 (multiplicity 4)

Output
density of states at the Fermi level	15.41	states/eV/cell
raw formation energy	-2.3591	eV/atom

---

# 8
DyNpPb2O8: optimized geometry, PBE.

a = 7.300 Å, b = 7.365 Å, c = 6.938 Å
α = 90.00°, β = 90.00°, γ = 90.00°
Space group Cmmm (No. 65)
One atom of each set of equivalent atoms:
Dy: 0.000 0.000 0.000 (multiplicity 2)
Np: 0.000 0.000 0.500 (multiplicity 2)
Pb: 0.000 0.500 0.249 (multiplicity 4)
O: 0.000 0.179 0.274 (multiplicity 8)
O: 0.192 0.500 0.000 (multiplicity 4)
O: 0.207 0.500 0.500 (multiplicity 4)

Output
density of states at the Fermi level	12.64	states/eV/cell
raw formation energy	-2.0686	eV/atom

---

# 9
PmDyNpO6: optimized geometry, PBE.

a = 5.7748 Å, b = 5.7748 Å, c = 9.6769 Å
α = 90.00°, β = 90.00°, γ = 120.00°
Space group P-31c (No. 163)
One atom of each set of equivalent atoms:
Pm: 0.0000 0.0000 0.0000 (multiplicity 2)
Dy: 0.3333 0.6667 0.2500 (multiplicity 2)
Np: 0.3333 0.6667 0.7500 (multiplicity 2)
O: 0.0256 0.3627 0.6361 (multiplicity 12)

Output
raw formation energy	-3.1928	eV/atom

---

# 10
Pr2DyNpO8: optimized geometry, PBE.

a = 3.956 Å, b = 7.603 Å, c = 5.583 Å
α = 90.00°, β = 94.67°, γ = 90.00°
Space group P2/m (No. 10)
One atom of each set of equivalent atoms:
Pr: 0.000 0.243 0.000 (multiplicity 2)
Dy: 0.500 0.000 0.500 (multiplicity 1)
Np: 0.500 0.500 0.500 (multiplicity 1)
O: 0.008 0.000 0.256 (multiplicity 2)
O: 0.058 0.500 0.286 (multiplicity 2)
O: 0.465 0.280 0.727 (multiplicity 4)

Output
density of states at the Fermi level	0.16	states/eV/cell
raw formation energy	-3.1084	eV/atom

---

# 11
PrDy2NpO8: optimized geometry, PBE.

a = 3.936 Å, b = 7.512 Å, c = 5.431 Å
α = 90.00°, β = 94.01°, γ = 90.00°
Space group P2/m (No. 10)
One atom of each set of equivalent atoms:
Pr: 0.000 0.000 0.000 (multiplicity 1)
Dy: 0.500 0.244 0.500 (multiplicity 2)
Np: 0.000 0.500 0.000 (multiplicity 1)
O: 0.027 0.284 0.759 (multiplicity 4)
O: 0.456 0.500 0.224 (multiplicity 2)
O: 0.491 0.000 0.738 (multiplicity 2)

Output
density of states at the Fermi level	1.40	states/eV/cell
raw formation energy	-3.1610	eV/atom

---

# 12
DyNpPtO6: optimized geometry, PBE.

a = 5.6384 Å, b = 5.6384 Å, c = 8.6259 Å
α = 90.00°, β = 90.00°, γ = 120.00°
Space group P-31c (No. 163)
One atom of each set of equivalent atoms:
Dy: 0.3333 0.6667 0.2500 (multiplicity 2)
Np: 0.3333 0.6667 0.7500 (multiplicity 2)
Pt: 0.0000 0.0000 0.0000 (multiplicity 2)
O: 0.0239 0.3366 0.6230 (multiplicity 12)

Output
density of states at the Fermi level	4.50	states/eV/cell
raw formation energy	-2.1190	eV/atom

---

Number 1: total moment 0.5 μB/f.u.. Number 2: total moment 0.9 μB/f.u.. Number 3: total moment 1.0 μB/f.u.. Number 4: total moment 5.0 μB/f.u.. Number 5: total moment 4.0 μB/f.u.. Number 6: total moment 0.0 μB/f.u.. Number 7: total moment 2.0 μB/f.u.. Number 8: total moment 1.0 μB/f.u.. Number 9: total moment 1.0 μB/f.u.. Number 10: total moment 0.0 μB/f.u.. Number 11: total moment 0.0 μB/f.u.. Number 12: total moment 2.0 μB/f.u..